[1]
This record from Alexandria describes a geometry-optimized LaB2PtO8 structure. The functional is PBE-GGA.

For the uncorrected formation energy, the calculation gives -19.15 eV per formula unit.

The space group is P-3m1 (No. 164) and the conventional cell measures 4.9503, 4.9503 and 6.9391 Å, with angles of 90.00, 90.00 and 120.00 degrees. The inequivalent atoms are La at (0.0000, 0.0000, 0.0000), B at (0.3333, 0.6667, 0.2543), Pt at (0.0000, 0.0000, 0.5000), O at (0.1692, 0.3384, 0.3061) and O at (0.3333, 0.6667, 0.0429).

[2]
This record from Alexandria describes a geometry-optimized La5Tb2Nd3 structure. The functional is PBE-GGA.

Its formation energy is 0.146 eV/atom.

The space group is C2/c (No. 15) and the conventional cell measures 11.0720, 14.9944 and 10.2697 Å, with angles of 90.00, 122.53 and 90.00 degrees. The inequivalent atoms are La at (0.0000, 0.0229, 0.2500), La at (0.0000, 0.2305, 0.2500), La at (0.0000, 0.2763, 0.7500), La at (0.2444, 0.3770, 0.2415), Tb at (0.1562, 0.3766, 0.5596), Nd at (0.0000, 0.4817, 0.7500) and Nd at (0.1520, 0.1251, 0.0574).

[3]
This record from Alexandria describes a geometry-optimized Ag2PCl structure. The functional is PBE-GGA.

For the uncorrected formation energy, the calculation gives 0.29 eV per formula unit. Its distance to the lowest polymorph of the same formula is 49 meV per atom.

The space group is P2/m (No. 10) and the conventional cell measures 3.2654, 3.3122 and 7.1982 Å, with angles of 90.00, 90.19 and 90.00 degrees. The inequivalent atoms are Ag at (0.0027, 0.0000, 0.2065), P at (0.5000, 0.5000, 0.0000) and Cl at (0.0000, 0.5000, 0.5000).

[4]
This record from Alexandria describes a geometry-optimized Ba2NbF6 structure. The functional is PBE-GGA.

For the uncorrected formation energy, the calculation gives -28.04 eV per formula unit.

The space group is P4_2/mnm (No. 136) and the conventional cell measures 5.6169, 5.6169 and 12.0608 Å, with angles of 90.00, 90.00 and 90.00 degrees. The inequivalent atoms are Ba at (0.0000, 0.0000, 0.1622), Nb at (0.0000, 0.0000, 0.5000), F at (0.1722, 0.1722, 0.3487) and F at (0.2174, 0.2174, 0.0000).

[5]
This record from Alexandria describes a geometry-optimized HfTiAsSe2 structure. The functional is PBE-GGA.

For the uncorrected formation energy, the calculation gives -0.19 eV per formula unit. Its distance to the lowest polymorph of the same formula is 4 meV per atom.

The space group is P4/mmm (No. 123) and the conventional cell measures 5.0952, 5.0952 and 5.1615 Å, with angles of 90.00, 90.00 and 90.00 degrees. The inequivalent atoms are Hf at (0.0000, 0.0000, 0.0000), Ti at (0.5000, 0.5000, 0.5000), As at (0.0000, 0.0000, 0.5000) and Se at (0.0000, 0.5000, 0.0000).

[6]
This record from Alexandria describes a geometry-optimized Ti2CoAg structure. The functional is PBE-GGA.

Its formation energy is -0.131 eV/atom. Its distance to the lowest polymorph of the same formula is 0 meV per atom.

The space group is P4/mmm (No. 123) and the conventional cell measures 2.8053, 2.8053 and 7.7287 Å, with angles of 90.00, 90.00 and 90.00 degrees. The inequivalent atoms are Ti at (0.0000, 0.0000, 0.2098), Co at (0.5000, 0.5000, 0.0000) and Ag at (0.5000, 0.5000, 0.5000).

[7]
This record from Alexandria describes a geometry-optimized MnMo2P structure. The functional is PBE-GGA.

Its formation energy is 0.016 eV/atom.

The space group is Cmm2 (No. 35) and the conventional cell measures 3.2691, 4.4463 and 7.7079 Å, with angles of 90.00, 90.00 and 90.00 degrees. The inequivalent atoms are Mn at (0.0000, 0.0000, 0.0000), Mo at (0.0000, 0.0000, 0.4449), Mo at (0.0000, 0.5000, 0.7312) and P at (0.0000, 0.5000, 0.2019).

Record-wise magnetic moment values, in μB per atom: 0.25, 0.00, 0.00, 0.33, 0.33, 0.28, 0.47